Entry 1:
# CaBPO2

CaBPO2 after structural relaxation (GGA-PBE, the Alexandria database).

Values from the calculation:
- E: -19.29 eV per formula unit
- N(E_F): 1.1878 states/eV/atom
- Space-group type: P4/mmm (123)

a = 4.079 Å, b = 4.079 Å, c = 6.247 Å
α = 90.00°, β = 90.00°, γ = 90.00°
Last column: magnetic moment on the atom in μB.
Fractional coordinates of all 5 atoms:
P1 0.000 0.000 0.500  0.32
Ca1 0.000 0.000 0.000  0.02
B1 0.500 0.500 0.500  -0.03
O1 0.000 0.500 0.000  0.01
O2 0.500 0.000 0.000  0.01

---

Entry 2:
# DyUN

DyUN after structural relaxation (GGA-PBE, the Alexandria database).

Values from the calculation:
- E: -22.54 eV per formula unit
- N(E_F): 2.5852 states/eV/atom
- Space-group type: I4mm (107)

a = 4.536 Å, b = 4.536 Å, c = 5.015 Å
α = 116.89°, β = 116.89°, γ = 90.00°
Last column: magnetic moment on the atom in μB.
Fractional coordinates of all 3 atoms:
Dy1 0.886 0.886 0.772  0.44
U1 0.356 0.356 0.711  2.35
N1 0.608 0.608 0.217  -0.08

---

Entry 3:
# Tm2MnAl2Co5

Tm2MnAl2Co5 after structural relaxation (GGA-PBE, the Alexandria database).

Values from the calculation:
- E: -62.66 eV per formula unit
- E_form: -0.153 eV/atom
- N(E_F): 1.0959 states/eV/atom
- Space-group type: P4/mbm (127)

a = 3.229 Å, b = 9.520 Å, c = 9.520 Å
α = 90.00°, β = 90.00°, γ = 90.00°
Last column: magnetic moment on the atom in μB.
Fractional coordinates of all 20 atoms:
Tm1 0.000 0.674 0.174  -0.27
Tm2 0.000 0.326 0.826  -0.27
Tm3 0.000 0.174 0.326  -0.27
Tm4 0.000 0.826 0.674  -0.27
Mn1 0.000 0.000 0.000  3.18
Mn2 0.000 0.500 0.500  3.18
Al1 0.000 0.125 0.625  -0.02
Al2 0.000 0.875 0.375  -0.02
Al3 0.000 0.625 0.875  -0.02
Al4 0.000 0.375 0.125  -0.02
Co1 0.500 0.198 0.059  0.78
Co2 0.500 0.802 0.941  0.78
Co3 0.500 0.059 0.802  0.78
Co4 0.500 0.698 0.441  0.78
Co5 0.500 0.941 0.198  0.78
Co6 0.500 0.302 0.559  0.78
Co7 0.500 0.559 0.698  0.78
Co8 0.500 0.441 0.302  0.78
Co9 0.500 0.500 0.000  0.08
Co10 0.500 0.000 0.500  0.08

---

Entry 4:
# Ti4GaTe

Ti4GaTe after structural relaxation (GGA-PBE, the Alexandria database).

Values from the calculation:
- E: -39.80 eV per formula unit
- N(E_F): 0.9867 states/eV/atom
- Space-group type: P2_1/m (11)

a = 5.384 Å, b = 9.451 Å, c = 5.384 Å
α = 90.00°, β = 90.00°, γ = 128.62°
Fractional coordinates of all 12 atoms:
Ti1 0.531 0.651 0.750
Ti2 0.469 0.349 0.250
Ti3 0.203 0.037 0.750
Ti4 0.797 0.963 0.250
Ti5 0.060 0.687 0.996
Ti6 0.940 0.313 0.496
Ti7 0.060 0.687 0.504
Ti8 0.940 0.313 0.004
Ga1 0.566 0.388 0.750
Ga2 0.434 0.612 0.250
Te1 0.644 0.974 0.750
Te2 0.356 0.026 0.250

---

Entry 5:
# TbCe2Nd3Dy6

TbCe2Nd3Dy6 after structural relaxation (GGA-PBE, the Alexandria database).

Values from the calculation:
- E: -57.88 eV per formula unit
- E_form: 0.045 eV/atom
- N(E_F): 1.7194 states/eV/atom
- Space-group type: C2/m (12)

a = 6.197 Å, b = 6.197 Å, c = 11.784 Å
α = 95.03°, β = 95.03°, γ = 120.00°
Last column: magnetic moment on the atom in μB.
Fractional coordinates of all 12 atoms:
Tb1 0.000 0.000 0.000  0.04
Ce1 0.333 0.667 0.000  0.73
Ce2 0.667 0.333 0.000  0.73
Nd1 0.166 0.834 0.500  -0.01
Nd2 0.834 0.166 0.500  -0.01
Nd3 0.500 0.500 0.500  -0.01
Dy1 0.918 0.582 0.754  0.02
Dy2 0.747 0.747 0.246  0.01
Dy3 0.082 0.418 0.246  0.02
Dy4 0.582 0.918 0.754  0.02
Dy5 0.253 0.253 0.754  0.01
Dy6 0.418 0.082 0.246  0.02

---

Entry 6:
# ScHgMo2

ScHgMo2 after structural relaxation (GGA-PBE, the Alexandria database).

Values from the calculation:
- E: -27.50 eV per formula unit
- E_form: 0.200 eV/atom
- N(E_F): 1.0420 states/eV/atom
- Space-group type: I-4m2 (119)

a = 4.660 Å, b = 4.660 Å, c = 4.660 Å
α = 119.86°, β = 119.86°, γ = 90.25°
Fractional coordinates of all 4 atoms:
Hg1 0.750 0.250 0.500
Mo1 0.000 0.000 0.000
Mo2 0.250 0.750 0.500
Sc1 0.500 0.500 0.000

---

no.,calculated volume (Å³/f.u.)
1,104
2,79
3,146
4,107
5,386
6,72